Entry 1:
Computed, not measured: a relaxed TaInCo3 crystal at the PBE level of DFT.

```
data_TaInCo3
_chemical_formula_sum 'Ta1 In1 Co3'
_symmetry_space_group_name_H-M 'P m -3 m'
_symmetry_Int_Tables_number 221
_symmetry_space_group_name_Hall '-P 4 2 3'
_cell_length_a 4.483
_cell_length_b 4.483
_cell_length_c 4.483
_cell_angle_alpha 90.00
_cell_angle_beta 90.00
_cell_angle_gamma 90.00
loop_
_atom_site_label
_atom_site_fract_x
_atom_site_fract_y
_atom_site_fract_z
Ta1 0.000 0.000 0.000
In1 0.500 0.500 0.500
Co1 0.000 0.000 0.500
```

Results
energy above the most stable polymorph in this dataset: 0 meV per atom
total moment: 0.00 μB/atom

***

Entry 2:
Computed, not measured: a relaxed TaInCoTc crystal at the PBE level of DFT.

```
data_TaInCoTc
_chemical_formula_sum 'Ta4 In4 Co4 Tc4'
_symmetry_space_group_name_H-M 'F -4 3 m'
_symmetry_Int_Tables_number 216
_symmetry_space_group_name_Hall 'F -4 2 3'
_cell_length_a 6.304
_cell_length_b 6.304
_cell_length_c 6.304
_cell_angle_alpha 90.00
_cell_angle_beta 90.00
_cell_angle_gamma 90.00
loop_
_atom_site_label
_atom_site_fract_x
_atom_site_fract_y
_atom_site_fract_z
Ta1 0.000 0.000 0.000
In1 0.000 0.000 0.500
Co1 0.250 0.250 0.250
Tc1 0.250 0.250 0.750
```

Results
total moment: 0.00 μB/atom
raw total energy: -129.3 eV/cell

***

Entry 3:
Computed, not measured: a relaxed TaTiIn2Co crystal at the PBE level of DFT.

```
data_TaTiIn2Co
_chemical_formula_sum 'Ta1 Ti1 In2 Co1'
_symmetry_space_group_name_H-M 'P 4/m m m'
_symmetry_Int_Tables_number 123
_symmetry_space_group_name_Hall '-P 4 2'
_cell_length_a 4.768
_cell_length_b 4.768
_cell_length_c 4.351
_cell_angle_alpha 90.00
_cell_angle_beta 90.00
_cell_angle_gamma 90.00
loop_
_atom_site_label
_atom_site_fract_x
_atom_site_fract_y
_atom_site_fract_z
Ta1 0.000 0.000 0.000
Ti1 0.500 0.500 0.000
In1 0.000 0.500 0.500
Co1 0.500 0.500 0.500
```

Results
total moment: 0.00 μB/atom
raw total energy: -29.0 eV/cell

***

Entry 4:
Computed, not measured: a relaxed Ta2VInCo crystal at the PBE level of DFT.

```
data_Ta2VInCo
_chemical_formula_sum 'Ta2 V1 In1 Co1'
_symmetry_space_group_name_H-M 'P 4/m m m'
_symmetry_Int_Tables_number 123
_symmetry_space_group_name_Hall '-P 4 2'
_cell_length_a 4.632
_cell_length_b 4.632
_cell_length_c 4.346
_cell_angle_alpha 90.00
_cell_angle_beta 90.00
_cell_angle_gamma 90.00
loop_
_atom_site_label
_atom_site_fract_x
_atom_site_fract_y
_atom_site_fract_z
Ta1 0.000 0.500 0.000
V1 0.000 0.000 0.500
In1 0.500 0.500 0.500
Co1 0.000 0.000 0.000
```

Results
total moment: 0.00 μB/atom
raw total energy: -39.8 eV/cell

***

Entry 5:
Computed, not measured: a relaxed YTa2InCo crystal at the PBE level of DFT.

```
data_YTa2InCo
_chemical_formula_sum 'Y1 Ta2 In1 Co1'
_symmetry_space_group_name_H-M 'P 4/m m m'
_symmetry_Int_Tables_number 123
_symmetry_space_group_name_Hall '-P 4 2'
_cell_length_a 5.055
_cell_length_b 5.055
_cell_length_c 4.501
_cell_angle_alpha 90.00
_cell_angle_beta 90.00
_cell_angle_gamma 90.00
loop_
_atom_site_label
_atom_site_fract_x
_atom_site_fract_y
_atom_site_fract_z
Y1 0.000 0.000 0.000
Ta1 0.000 0.500 0.000
In1 0.500 0.500 0.500
Co1 0.000 0.000 0.500
```

Results
total moment: 0.07 μB/atom
raw total energy: -30.1 eV/cell

***

Entry 6:
Computed, not measured: a relaxed Tb8In2Co crystal at the PBE level of DFT.

```
data_Tb8In2Co
_chemical_formula_sum 'Tb16 In4 Co2'
_symmetry_space_group_name_H-M 'C 1 2/m 1'
_symmetry_Int_Tables_number 12
_cell_length_a 17.232
_cell_length_b 5.538
_cell_length_c 6.898
_cell_angle_alpha 90.00
_cell_angle_beta 113.01
_cell_angle_gamma 90.00
loop_
_symmetry_equiv_pos_as_xyz
'x,y,z'
'-x,-y,-z'
'-x,y,-z'
'x,-y,z'
'x+1/2,y+1/2,z'
'-x+1/2,-y+1/2,-z'
'-x+1/2,y+1/2,-z'
'x+1/2,-y+1/2,z'
loop_
_atom_site_label
_atom_site_fract_x
_atom_site_fract_y
_atom_site_fract_z
Tb1 0.004 0.000 0.263
Tb2 0.110 0.500 0.891
Tb3 0.131 0.500 0.390
Tb4 0.197 0.000 0.725
In1 0.184 0.000 0.189
Co1 0.000 0.500 0.500
```

Results
total moment: 0.00 μB/atom
raw total energy: -103.7 eV/cell

***

Entry 7:
Computed, not measured: a relaxed Tb8InCo2 crystal at the PBE level of DFT.

```
data_Tb8InCo2
_chemical_formula_sum 'Tb16 In2 Co4'
_symmetry_space_group_name_H-M 'C 1 2/m 1'
_symmetry_Int_Tables_number 12
_cell_length_a 8.671
_cell_length_b 13.267
_cell_length_c 5.294
_cell_angle_alpha 90.00
_cell_angle_beta 103.05
_cell_angle_gamma 90.00
loop_
_symmetry_equiv_pos_as_xyz
'x,y,z'
'-x,-y,-z'
'-x,y,-z'
'x,-y,z'
'x+1/2,y+1/2,z'
'-x+1/2,-y+1/2,-z'
'-x+1/2,y+1/2,-z'
'x+1/2,-y+1/2,z'
loop_
_atom_site_label
_atom_site_fract_x
_atom_site_fract_y
_atom_site_fract_z
Tb1 0.000 0.248 0.000
Tb2 0.111 0.000 0.801
Tb3 0.199 0.369 0.569
In1 0.000 0.500 0.000
Co1 0.000 0.193 0.500
```

Results
total moment: 0.00 μB/atom
raw total energy: -110.6 eV/cell

***

Entry 8:
Computed, not measured: a relaxed Tb2In8Co crystal at the PBE level of DFT.

```
data_Tb2In8Co
_chemical_formula_sum 'Tb2 In8 Co1'
_symmetry_space_group_name_H-M 'P 4/m m m'
_symmetry_Int_Tables_number 123
_symmetry_space_group_name_Hall '-P 4 2'
_cell_length_a 4.598
_cell_length_b 4.598
_cell_length_c 12.192
_cell_angle_alpha 90.00
_cell_angle_beta 90.00
_cell_angle_gamma 90.00
loop_
_atom_site_label
_atom_site_fract_x
_atom_site_fract_y
_atom_site_fract_z
Tb1 0.000 0.000 0.193
In1 0.000 0.500 0.000
In2 0.000 0.500 0.382
In3 0.500 0.500 0.192
Co1 0.000 0.000 0.500
```

Results
total moment: 0.00 μB/atom
raw total energy: -41.7 eV/cell

***

Entry 9:
Computed, not measured: a relaxed Tb4In3Co crystal at the PBE level of DFT.

```
data_Tb4In3Co
_chemical_formula_sum 'Tb4 In3 Co1'
_symmetry_space_group_name_H-M 'P 4/m m m'
_symmetry_Int_Tables_number 123
_symmetry_space_group_name_Hall '-P 4 2'
_cell_length_a 3.517
_cell_length_b 3.517
_cell_length_c 16.093
_cell_angle_alpha 90.00
_cell_angle_beta 90.00
_cell_angle_gamma 90.00
loop_
_atom_site_label
_atom_site_fract_x
_atom_site_fract_y
_atom_site_fract_z
Tb1 0.000 0.000 0.100
Tb2 0.000 0.000 0.367
In1 0.500 0.500 0.235
In2 0.500 0.500 0.500
Co1 0.500 0.500 0.000
```

Results
total moment: 0.08 μB/atom
raw total energy: -37.0 eV/cell

***

Entry 10:
Computed, not measured: a relaxed Tb6InCo crystal at the PBE level of DFT.

```
data_Tb6InCo
_chemical_formula_sum 'Tb12 In2 Co2'
_symmetry_space_group_name_H-M 'C 1 2/m 1'
_symmetry_Int_Tables_number 12
_cell_length_a 7.971
_cell_length_b 9.900
_cell_length_c 6.247
_cell_angle_alpha 90.00
_cell_angle_beta 105.02
_cell_angle_gamma 90.00
loop_
_symmetry_equiv_pos_as_xyz
'x,y,z'
'-x,-y,-z'
'-x,y,-z'
'x,-y,z'
'x+1/2,y+1/2,z'
'-x+1/2,-y+1/2,-z'
'-x+1/2,y+1/2,-z'
'x+1/2,-y+1/2,z'
loop_
_atom_site_label
_atom_site_fract_x
_atom_site_fract_y
_atom_site_fract_z
Tb1 0.110 0.187 0.287
Tb2 0.216 0.500 0.116
In1 0.000 0.500 0.500
Co1 0.000 0.000 0.000
```

Results
total moment: 0.00 μB/atom
raw total energy: -75.9 eV/cell

***

Entry 11:
Computed, not measured: a relaxed Tb5InCo2 crystal at the PBE level of DFT.

```
data_Tb5InCo2
_chemical_formula_sum 'Tb20 In4 Co8'
_symmetry_space_group_name_H-M 'I 4/m c m'
_symmetry_Int_Tables_number 140
_symmetry_space_group_name_Hall '-I 4 2c'
_cell_length_a 7.652
_cell_length_b 7.652
_cell_length_c 13.548
_cell_angle_alpha 90.00
_cell_angle_beta 90.00
_cell_angle_gamma 90.00
loop_
_atom_site_label
_atom_site_fract_x
_atom_site_fract_y
_atom_site_fract_z
Tb1 0.000 0.000 0.000
Tb2 0.162 0.338 0.131
In1 0.000 0.000 0.250
Co1 0.134 0.366 0.500
```

Results
total moment: 0.00 μB/atom
raw total energy: -168.3 eV/cell

***

Entry 12:
Computed, not measured: a relaxed TbIn5Co crystal at the PBE level of DFT.

```
data_TbIn5Co
_chemical_formula_sum 'Tb1 In5 Co1'
_symmetry_space_group_name_H-M 'P 4/m m m'
_symmetry_Int_Tables_number 123
_symmetry_space_group_name_Hall '-P 4 2'
_cell_length_a 4.363
_cell_length_b 4.363
_cell_length_c 8.908
_cell_angle_alpha 90.00
_cell_angle_beta 90.00
_cell_angle_gamma 90.00
loop_
_atom_site_label
_atom_site_fract_x
_atom_site_fract_y
_atom_site_fract_z
Tb1 0.000 0.000 0.000
In1 0.000 0.500 0.264
In2 0.500 0.500 0.500
Co1 0.000 0.000 0.500
```

Results
total moment: 0.11 μB/atom
raw total energy: -25.1 eV/cell

***

Record order is preserved below.
Volume: 90 251 99 93 115 606 593 258 199 476 793 170 Å³/cell